(1)
Entry from Alexandria: a relaxed structure of DyTlAs (PBE).

Cell and atoms, written as POSCAR:
```
DyTlAs
1.0
7.7877 -0.4816 0.0000
-3.4011 7.0223 0.0000
-2.1933 -3.2704 7.0006
Tl As Dy
4 4 4
direct
0.6250 0.3750 0.2500
0.1250 0.3750 0.7500
0.6250 0.3750 0.7500
0.6250 0.8750 0.2500
0.0945 0.9055 0.5000
0.8445 0.1555 0.0000
0.4055 0.5945 0.5000
0.1555 0.8445 0.0000
0.1127 0.6127 0.2254
0.1373 0.1373 0.2746
0.8627 0.8627 0.7254
0.3873 0.8873 0.7746
```

- E_form (eV/atom) = -0.59
- crystal system = orthorhombic
- total DFT energy (no corrections) (eV/atom) = -4.463

---

(2)
Entry from Alexandria: a relaxed structure of DyTlAs2 (PBE).

Cell and atoms, written as POSCAR:
```
DyTlAs2
1.0
4.2306 0.0000 0.0000
2.1153 3.6638 0.0000
2.1153 1.2213 6.8248
Tl As Dy
1 2 1
direct
0.5000 0.5000 0.5000
0.2567 0.2567 0.2298
0.7433 0.7433 0.7702
0.0000 0.0000 0.0000
```

- E_form (eV/atom) = -0.45
- crystal system = trigonal
- total DFT energy (no corrections) (eV/atom) = -4.521

---

(3)
Entry from Alexandria: a relaxed structure of Dy3TlAs (PBE).

Cell and atoms, written as POSCAR:
```
Dy3TlAs
1.0
4.5093 0.0000 0.0000
0.0000 7.6133 0.0000
0.0000 0.0000 16.0022
Dy Tl As
12 4 4
direct
0.2500 0.3673 0.5551
0.7500 0.8116 0.2276
0.7500 0.4889 0.8985
0.7500 0.9889 0.6015
0.7500 0.6327 0.4449
0.2500 0.0111 0.3985
0.2500 0.8673 0.9449
0.7500 0.3116 0.2725
0.2500 0.6884 0.7276
0.2500 0.1884 0.7724
0.7500 0.1327 0.0551
0.2500 0.5111 0.1015
0.7500 0.9114 0.8076
0.2500 0.0886 0.1924
0.7500 0.4114 0.6924
0.2500 0.5886 0.3076
0.2500 0.2741 0.9577
0.2500 0.7741 0.5423
0.7500 0.2259 0.4577
0.7500 0.7259 0.0423
```

- E_form (eV/atom) = -0.72
- crystal system = orthorhombic
- total DFT energy (no corrections) (eV/atom) = -4.884

---

(4)
Entry from Alexandria: a relaxed structure of Dy4TmAs5 (PBE).

Cell and atoms, written as POSCAR:
```
Dy4TmAs5
1.0
0.7633 -5.4040 1.9936
-2.6419 -5.0628 -4.2449
6.0667 -3.0508 -2.1254
Dy Tm As
4 1 5
direct
0.4016 0.3994 0.7994
0.8010 0.7994 0.6006
0.2010 0.2006 0.3994
0.6005 0.6006 0.2006
0.0010 0.0000 0.0000
0.9016 0.3976 0.8012
0.2992 0.8012 0.6024
0.7028 0.1988 0.3976
0.1005 0.6024 0.1988
0.5010 0.0000 0.0000
```

- E_form (eV/atom) = -1.53
- crystal system = tetragonal
- total DFT energy (no corrections) (eV/atom) = -6.143

---

- Which formula does entry 4 have?
  Dy4TmAs5